A relaxed Ca2GdTm crystal. Source: the Alexandria database, functional PBE-GGA.

Unit cell a=3.6671 b=3.6671 c=10.6451 alpha=90.00 beta=90.00 gamma=90.00
Last column: nearest neighbours and their distance in Å.
Atoms (fractional coordinates):
Ca1 0.0000 0.0000 0.2463  4 Ca 3.67, 4 Tm 3.69, 4 Gd 3.74
Ca2 0.0000 0.0000 0.7537  4 Ca 3.67, 4 Tm 3.69, 4 Gd 3.74
Gd1 0.5000 0.5000 0.5000  4 Gd 3.67, 8 Ca 3.74
Tm1 0.5000 0.5000 0.0000  4 Tm 3.67, 8 Ca 3.69

Properties
SG ... P4/mmm (123)
Energy relative to the elements ... 0.1666 eV per atom
Polymorph energy (0 for the lowest one) ... 0.5 meV/atom
Spin magnetization ... 7.88 μB per formula unit